Entry 1:
# Tb2Sm15Tm2, relaxed, DFT PBE
data_Tb2Sm15Tm2
_chemical_formula_sum 'Tb6 Sm45 Tm6'
_symmetry_space_group_name_H-M 'R -3 m'
_symmetry_Int_Tables_number 166
_symmetry_space_group_name_Hall '-R 3 2"'
_cell_length_a 11.2087
_cell_length_b 11.2087
_cell_length_c 18.0124
_cell_angle_alpha 90.00
_cell_angle_beta 90.00
_cell_angle_gamma 120.00
loop_
_atom_site_label
_atom_site_type_symbol
_atom_site_fract_x
_atom_site_fract_y
_atom_site_fract_z
Tb1 Tb 0.0000 0.0000 0.1839
Sm1 Sm 0.0000 0.2955 0.5000
Sm2 Sm 0.0000 0.5000 0.0000
Sm3 Sm 0.0201 0.5100 0.6330
Tm1 Tm 0.0000 0.0000 0.4065
# Density of states at the Fermi level = 32.670 states/eV/f.u.
# Magnetic moment = 0.000 μB/atom
# Calculated formation energy = 0.2720 eV per atom

***

Entry 2:
# TbSm3Tm12, relaxed, DFT PBE
data_TbSm3Tm12
_chemical_formula_sum 'Tb1 Sm3 Tm12'
_symmetry_space_group_name_H-M 'P 4/m m m'
_symmetry_Int_Tables_number 123
_symmetry_space_group_name_Hall '-P 4 2'
_cell_length_a 4.9729
_cell_length_b 4.9729
_cell_length_c 19.9069
_cell_angle_alpha 90.00
_cell_angle_beta 90.00
_cell_angle_gamma 90.00
loop_
_atom_site_label
_atom_site_type_symbol
_atom_site_fract_x
_atom_site_fract_y
_atom_site_fract_z
Tb1 Tb 0.0000 0.0000 0.0000
Sm1 Sm 0.0000 0.0000 0.2495
Sm2 Sm 0.0000 0.0000 0.5000
Tm1 Tm 0.0000 0.5000 0.1241
Tm2 Tm 0.0000 0.5000 0.3746
Tm3 Tm 0.5000 0.5000 0.0000
Tm4 Tm 0.5000 0.5000 0.2492
Tm5 Tm 0.5000 0.5000 0.5000
# Density of states at the Fermi level = 22.000 states/eV/f.u.
# Magnetic moment = 0.000 μB/atom
# Calculated formation energy = 0.0254 eV per atom

***

Entry 3:
# Tb2SmTm, relaxed, DFT PBE
data_Tb2SmTm
_chemical_formula_sum 'Tb4 Sm2 Tm2'
_symmetry_space_group_name_H-M 'P m m n'
_symmetry_Int_Tables_number 59
_cell_length_a 5.6599
_cell_length_b 7.2722
_cell_length_c 6.2822
_cell_angle_alpha 90.00
_cell_angle_beta 90.00
_cell_angle_gamma 90.00
loop_
_symmetry_equiv_pos_as_xyz
'x,y,z'
'-x,-y,-z'
'-x+1/2,-y+1/2,z'
'x+1/2,y+1/2,-z'
'x+1/2,-y,-z'
'-x+1/2,y,z'
'-x,y+1/2,-z'
'x,-y+1/2,z'
loop_
_atom_site_label
_atom_site_type_symbol
_atom_site_fract_x
_atom_site_fract_y
_atom_site_fract_z
Tb1 Tb 0.2500 0.0011 0.1661
Sm1 Sm 0.2500 0.2500 0.6648
Tm1 Tm 0.2500 0.7500 0.6675
# Density of states at the Fermi level = 6.258 states/eV/f.u.
# Magnetic moment = 0.000 μB/atom
# Calculated formation energy = 0.0121 eV per atom
# Energy above the most stable polymorph in this dataset = 0 meV per atom

***

Entry 4:
# Tb2Sm6Tm3, relaxed, DFT PBE
data_Tb2Sm6Tm3
_chemical_formula_sum 'Tb2 Sm6 Tm3'
_symmetry_space_group_name_H-M 'P -1'
_symmetry_Int_Tables_number 2
_symmetry_space_group_name_Hall '-P 1'
_cell_length_a 6.0816
_cell_length_b 8.4179
_cell_length_c 8.4482
_cell_angle_alpha 104.83
_cell_angle_beta 108.22
_cell_angle_gamma 107.99
loop_
_atom_site_label
_atom_site_type_symbol
_atom_site_fract_x
_atom_site_fract_y
_atom_site_fract_z
Tb1 Tb 0.1708 0.3147 0.3586
Sm1 Sm 0.2400 0.1479 0.7400
Sm2 Sm 0.2564 0.9555 0.0927
Sm3 Sm 0.3608 0.5953 0.7895
Tm1 Tm 0.0000 0.5000 0.0000
Tm2 Tm 0.2974 0.7767 0.4551
# Density of states at the Fermi level = 17.240 states/eV/f.u.
# Magnetic moment = 0.000 μB/atom
# Calculated formation energy = 0.0786 eV per atom
# Energy above the most stable polymorph in this dataset = 0 meV per atom

***

Entry 5:
# TbSm2Y3Tm6, relaxed, DFT PBE
data_TbSm2Y3Tm6
_chemical_formula_sum 'Tb2 Sm4 Y6 Tm12'
_symmetry_space_group_name_H-M 'C 1 2/m 1'
_symmetry_Int_Tables_number 12
_symmetry_space_group_name_Hall '-C 2y'
_cell_length_a 6.1358
_cell_length_b 10.6163
_cell_length_c 11.6986
_cell_angle_alpha 90.00
_cell_angle_beta 100.04
_cell_angle_gamma 90.00
loop_
_atom_site_label
_atom_site_type_symbol
_atom_site_fract_x
_atom_site_fract_y
_atom_site_fract_z
Tb1 Tb 0.0000 0.0000 0.0000
Sm1 Sm 0.0000 0.3333 0.0000
Y1 Y 0.0000 0.1666 0.5000
Y2 Y 0.0000 0.5000 0.5000
Tm1 Tm 0.2493 0.0000 0.7496
Tm2 Tm 0.2503 0.1665 0.2504
# Density of states at the Fermi level = 17.107 states/eV/f.u.
# Magnetic moment = 0.000 μB/atom
# Calculated formation energy = 0.0248 eV per atom

***

Entry 6:
# Tb3Sm6YTm2, relaxed, DFT PBE
data_Tb3Sm6YTm2
_chemical_formula_sum 'Tb6 Sm12 Y2 Tm4'
_symmetry_space_group_name_H-M 'C 1 2/m 1'
_symmetry_Int_Tables_number 12
_symmetry_space_group_name_Hall '-C 2y'
_cell_length_a 6.2179
_cell_length_b 10.7651
_cell_length_c 11.8169
_cell_angle_alpha 90.00
_cell_angle_beta 100.06
_cell_angle_gamma 90.00
loop_
_atom_site_label
_atom_site_type_symbol
_atom_site_fract_x
_atom_site_fract_y
_atom_site_fract_z
Tb1 Tb 0.0000 0.0000 0.0000
Tb2 Tb 0.0000 0.3332 0.0000
Sm1 Sm 0.2490 0.0000 0.7487
Sm2 Sm 0.2492 0.1673 0.2513
Y1 Y 0.0000 0.5000 0.5000
Tm1 Tm 0.0000 0.1667 0.5000
# Density of states at the Fermi level = 14.523 states/eV/f.u.
# Magnetic moment = 0.000 μB/atom
# Calculated formation energy = 0.0148 eV per atom

***

Entry 7:
# TbSm2Y2Tm2, relaxed, DFT PBE
data_TbSm2Y2Tm2
_chemical_formula_sum 'Tb2 Sm4 Y4 Tm4'
_symmetry_space_group_name_H-M 'C 1 2/m 1'
_symmetry_Int_Tables_number 12
_symmetry_space_group_name_Hall '-C 2y'
_cell_length_a 11.6844
_cell_length_b 3.5076
_cell_length_c 11.7658
_cell_angle_alpha 90.00
_cell_angle_beta 108.88
_cell_angle_gamma 90.00
loop_
_atom_site_label
_atom_site_type_symbol
_atom_site_fract_x
_atom_site_fract_y
_atom_site_fract_z
Tb1 Tb 0.0000 0.0000 0.0000
Sm1 Sm 0.1717 0.5000 0.5848
Y1 Y 0.0493 0.5000 0.2708
Tm1 Tm 0.2273 0.0000 0.8641
# Density of states at the Fermi level = 12.117 states/eV/f.u.
# Magnetic moment = 0.000 μB/atom
# Calculated formation energy = 0.0885 eV per atom

***

Entry 8:
# Tb2SmY6Tm3, relaxed, DFT PBE
data_Tb2SmY6Tm3
_chemical_formula_sum 'Tb4 Sm2 Y12 Tm6'
_symmetry_space_group_name_H-M 'C 1 2/m 1'
_symmetry_Int_Tables_number 12
_symmetry_space_group_name_Hall '-C 2y'
_cell_length_a 6.1590
_cell_length_b 10.6553
_cell_length_c 11.7759
_cell_angle_alpha 90.00
_cell_angle_beta 100.00
_cell_angle_gamma 90.00
loop_
_atom_site_label
_atom_site_type_symbol
_atom_site_fract_x
_atom_site_fract_y
_atom_site_fract_z
Tb1 Tb 0.0000 0.1667 0.0000
Sm1 Sm 0.0000 0.5000 0.0000
Y1 Y 0.2487 0.1668 0.7474
Y2 Y 0.2491 0.5000 0.7475
Tm1 Tm 0.0000 0.0000 0.5000
Tm2 Tm 0.0000 0.3332 0.5000
# Density of states at the Fermi level = 17.640 states/eV/f.u.
# Magnetic moment = 0.000 μB/atom
# Calculated formation energy = 0.0239 eV per atom

***

Entry 9:
# TbSm6YTm2, relaxed, DFT PBE
data_TbSm6YTm2
_chemical_formula_sum 'Tb4 Sm24 Y4 Tm8'
_symmetry_space_group_name_H-M 'C 1 2/c 1'
_symmetry_Int_Tables_number 15
_symmetry_space_group_name_Hall '-C 2yc'
_cell_length_a 9.1593
_cell_length_b 15.1934
_cell_length_c 9.6044
_cell_angle_alpha 90.00
_cell_angle_beta 97.46
_cell_angle_gamma 90.00
loop_
_atom_site_label
_atom_site_type_symbol
_atom_site_fract_x
_atom_site_fract_y
_atom_site_fract_z
Tb1 Tb 0.0000 0.0273 0.2500
Sm1 Sm 0.0621 0.1792 0.9456
Sm2 Sm 0.0996 0.3915 0.1199
Sm3 Sm 0.2104 0.2254 0.3162
Y1 Y 0.0000 0.4092 0.7500
Tm1 Tm 0.2500 0.0501 0.5453
# Density of states at the Fermi level = 14.346 states/eV/f.u.
# Magnetic moment = 0.000 μB/atom
# Calculated formation energy = 0.1166 eV per atom

***

Entry 10:
# TbSm2Y5Tm, relaxed, DFT PBE
data_TbSm2Y5Tm
_chemical_formula_sum 'Tb4 Sm8 Y20 Tm4'
_symmetry_space_group_name_H-M 'I 4/m c m'
_symmetry_Int_Tables_number 140
_symmetry_space_group_name_Hall '-I 4 2c'
_cell_length_a 8.6842
_cell_length_b 8.6842
_cell_length_c 15.5326
_cell_angle_alpha 90.00
_cell_angle_beta 90.00
_cell_angle_gamma 90.00
loop_
_atom_site_label
_atom_site_type_symbol
_atom_site_fract_x
_atom_site_fract_y
_atom_site_fract_z
Tb1 Tb 0.0000 0.0000 0.2500
Sm1 Sm 0.1166 0.3834 0.0000
Y1 Y 0.0000 0.0000 0.0000
Y2 Y 0.2095 0.2905 0.3618
Tm1 Tm 0.0000 0.5000 0.2500
# Density of states at the Fermi level = 12.142 states/eV/f.u.
# Magnetic moment = 0.000 μB/atom
# Calculated formation energy = 0.2694 eV per atom

***

Entry 11:
# TbSm2YTm5, relaxed, DFT PBE
data_TbSm2YTm5
_chemical_formula_sum 'Tb4 Sm8 Y4 Tm20'
_symmetry_space_group_name_H-M 'I 4/m c m'
_symmetry_Int_Tables_number 140
_symmetry_space_group_name_Hall '-I 4 2c'
_cell_length_a 8.6151
_cell_length_b 8.6151
_cell_length_c 15.3202
_cell_angle_alpha 90.00
_cell_angle_beta 90.00
_cell_angle_gamma 90.00
loop_
_atom_site_label
_atom_site_type_symbol
_atom_site_fract_x
_atom_site_fract_y
_atom_site_fract_z
Tb1 Tb 0.0000 0.0000 0.2500
Sm1 Sm 0.1164 0.3836 0.0000
Y1 Y 0.0000 0.5000 0.2500
Tm1 Tm 0.0000 0.0000 0.0000
Tm2 Tm 0.2111 0.2889 0.3619
# Density of states at the Fermi level = 10.652 states/eV/f.u.
# Magnetic moment = 0.000 μB/atom
# Calculated formation energy = 0.2770 eV per atom

***

Entry 12:
# TbSm3YTm, relaxed, DFT PBE
data_TbSm3YTm
_chemical_formula_sum 'Tb4 Sm12 Y4 Tm4'
_symmetry_space_group_name_H-M 'C 1 2/m 1'
_symmetry_Int_Tables_number 12
_symmetry_space_group_name_Hall '-C 2y'
_cell_length_a 22.1024
_cell_length_b 5.5586
_cell_length_c 6.7237
_cell_angle_alpha 90.00
_cell_angle_beta 98.91
_cell_angle_gamma 90.00
loop_
_atom_site_label
_atom_site_type_symbol
_atom_site_fract_x
_atom_site_fract_y
_atom_site_fract_z
Tb1 Tb 0.0717 0.0000 0.1786
Sm1 Sm 0.0240 0.5000 0.7648
Sm2 Sm 0.1630 0.0000 0.7654
Sm3 Sm 0.2251 0.0000 0.3105
Y1 Y 0.1667 0.5000 0.0254
Tm1 Tm 0.1318 0.5000 0.4676
# Density of states at the Fermi level = 8.778 states/eV/f.u.
# Magnetic moment = 0.000 μB/atom
# Calculated formation energy = 0.1816 eV per atom

***

What is the calculated formation energy in the sixth record? 0.0148 eV per atom

***

What is the formula in the twelfth record? TbSm3YTm

***

What is the magnetic moment in the second record? 0.000 μB/atom